A relaxed structure of VSb2OF, computed with GGA+U.

Structure (CIF):
```
data_VSb2OF
_chemical_formula_sum 'V1 Sb2 O1 F1'
_space_group_name_H-M_alt 'P 4/m m m'
_space_group_IT_number 123
_space_group_name_Hall '-P 4 2'
_cell_length_a 5.2286
_cell_length_b 5.2286
_cell_length_c 3.7952
_cell_angle_alpha 90.00
_cell_angle_beta 90.00
_cell_angle_gamma 90.00
loop_
_atom_site_label
_atom_site_fract_x
_atom_site_fract_y
_atom_site_fract_z
V1 0.0000 0.0000 0.0000
Sb1 0.0000 0.5000 0.0000
O1 0.5000 0.5000 0.5000
F1 0.0000 0.0000 0.5000
```

Calculated values
Energy above the lowest structure with this stoichiometry (eV per atom): 0.426
ρ (g/cm³): 5.27
Uncorrected energy (eV/atom): -4.570
Size of the total moment (μB per formula unit): 2.1